No. 1
## Pm2CdSi2 (PBE)

Data for crystalline Pm2CdSi2 at its relaxed geometry.

Its total energy is -4.918 eV per atom.

The space group is P4/mbm (No. 127) and the conventional cell measures 7.3423, 7.3423 and 4.3047 Å, with angles of 90.00, 90.00 and 90.00 degrees. The inequivalent atoms are Pm at (0.1798, 0.3202, 0.0000), Cd at (0.0000, 0.0000, 0.5000) and Si at (0.1149, 0.6149, 0.5000).

No. 2
## Pm5CdSi3 (PBE)

Data for crystalline Pm5CdSi3 at its relaxed geometry.

Its total energy is -5.044 eV per atom.

The space group is P6_3/mcm (No. 193) and the conventional cell measures 9.1045, 9.1045 and 6.3762 Å, with angles of 90.00, 90.00 and 120.00 degrees. The inequivalent atoms are Pm at (0.0000, 0.2985, 0.2500), Pm at (0.3333, 0.6667, 0.0000), Cd at (0.0000, 0.0000, 0.0000) and Si at (0.0000, 0.3643, 0.7500).

No. 3
## Pm8CdSi6 (PBE)

Data for crystalline Pm8CdSi6 at its relaxed geometry.

Its total energy is -5.299 eV per atom.

The space group is P-3 (No. 147) and the conventional cell measures 10.6607, 10.6607 and 3.8402 Å, with angles of 90.00, 90.00 and 120.00 degrees. The inequivalent atoms are Pm at (0.0891, 0.7744, 0.2646), Pm at (0.3333, 0.6667, 0.7527), Cd at (0.0000, 0.0000, 0.0000) and Si at (0.0625, 0.4789, 0.2462).

No. 4
## PmCd4Si2 (PBE)

Data for crystalline PmCd4Si2 at its relaxed geometry.

Its total energy is -2.912 eV per atom.

The space group is Cmmm (No. 65) and the conventional cell measures 4.2948, 16.3269 and 4.2906 Å, with angles of 90.00, 90.00 and 90.00 degrees. The inequivalent atoms are Pm at (0.0000, 0.0000, 0.0000), Cd at (0.0000, 0.1778, 0.5000), Cd at (0.0000, 0.3195, 0.0000) and Si at (0.0000, 0.4290, 0.5000).

No. 5
## Pm3CdSi2 (PBE)

Data for crystalline Pm3CdSi2 at its relaxed geometry.

Its total energy is -4.728 eV per atom.

The space group is R-3c (No. 167, hexagonal axes) and the conventional cell measures 7.8726, 7.8726 and 18.8272 Å, with angles of 90.00, 90.00 and 120.00 degrees. The inequivalent atoms are Pm at (0.0000, 0.2852, 0.2500), Cd at (0.0000, 0.0000, 0.0000) and Si at (0.0000, 0.0000, 0.1449).

No. 6
## PmCd2Si (PBE)

Data for crystalline PmCd2Si at its relaxed geometry.

Its total energy is -3.307 eV per atom.

The space group is P4/mmm (No. 123) and the conventional cell measures 4.3164, 4.3164 and 4.8858 Å, with angles of 90.00, 90.00 and 90.00 degrees. The inequivalent atoms are Pm at (0.0000, 0.0000, 0.0000), Cd at (0.0000, 0.5000, 0.5000) and Si at (0.5000, 0.5000, 0.0000).

No. 7
## Pm3CdSi (PBE)

Data for crystalline Pm3CdSi at its relaxed geometry.

Its total energy is -4.414 eV per atom.

The space group is Pm-3m (No. 221) and the conventional cell measures 7.4420, 7.4420 and 7.4420 Å, with angles of 90.00, 90.00 and 90.00 degrees. The inequivalent atoms are Pm at (0.0000, 0.0000, 0.0000), Pm at (0.2675, 0.2675, 0.2675), Cd at (0.0000, 0.0000, 0.5000) and Si at (0.0000, 0.5000, 0.5000).

No. 8
## Pm5CdSi4 (PBE)

Data for crystalline Pm5CdSi4 at its relaxed geometry.

Its total energy is -5.050 eV per atom.

The space group is P4/mmm (No. 123) and the conventional cell measures 3.8086, 3.8086 and 16.8949 Å, with angles of 90.00, 90.00 and 90.00 degrees. The inequivalent atoms are Pm at (0.0000, 0.0000, 0.0000), Pm at (0.0000, 0.0000, 0.1900), Pm at (0.0000, 0.0000, 0.3852), Cd at (0.5000, 0.5000, 0.5000), Si at (0.5000, 0.5000, 0.0795) and Si at (0.5000, 0.5000, 0.2906).

M_tot for every record listed, in sequence, given in μB/f.u.: 0.0, 0.0, 0.0, 0.0, 0.0, 0.0, 1.2, 0.2.